# 1
Below is an optimized crystal structure of Li2DyMgTl4, with properties calculated at the PBE level.

Calculated values
Mass density in Mg/m³: 8.80

Cell: 5.0868 5.0868 25.7212 Å, 90.00 90.00 120.00°
Space group R-3m (No. 166, hexagonal axes)
Asymmetric unit:
Li1 0.0000 0.0000 0.2499 [6 per cell]
Dy1 0.0000 0.0000 0.0000 [3 per cell]
Mg1 0.0000 0.0000 0.5000 [3 per cell]
Tl1 0.0000 0.0000 0.1261 [6 per cell]
Tl2 0.0000 0.0000 0.3786 [6 per cell]


# 2
Below is an optimized crystal structure of LiDyMg2Tl4, with properties calculated at the PBE level.

Calculated values
Mass density in Mg/m³: 8.79

Cell: 5.1367 5.1367 25.6827 Å, 90.00 90.00 120.00°
Space group R-3m (No. 166, hexagonal axes)
Asymmetric unit:
Li1 0.0000 0.0000 0.0000 [3 per cell]
Dy1 0.0000 0.0000 0.5000 [3 per cell]
Mg1 0.0000 0.0000 0.2494 [6 per cell]
Tl1 0.0000 0.0000 0.1186 [6 per cell]
Tl2 0.0000 0.0000 0.3708 [6 per cell]


# 3
Below is an optimized crystal structure of Li2DyTm2Mg5, with properties calculated at the PBE level.

Calculated values
Mass density in Mg/m³: 4.36

Cell: 10.4648 10.4648 4.4213 Å, 90.00 90.00 90.00°
Space group P4/mbm (No. 127)
Asymmetric unit:
Li1 0.1149 0.3851 0.0000 [4 per cell]
Dy1 0.0000 0.0000 0.0000 [2 per cell]
Tm1 0.1798 0.6798 0.0000 [4 per cell]
Mg1 0.0000 0.5000 0.5000 [2 per cell]
Mg2 0.0638 0.2138 0.5000 [8 per cell]


# 4
Below is an optimized crystal structure of Li2DyY2Mg5, with properties calculated at the PBE level.

Calculated values
Mass density in Mg/m³: 3.20

Cell: 10.5578 10.5578 4.4234 Å, 90.00 90.00 90.00°
Space group P4/mbm (No. 127)
Asymmetric unit:
Li1 0.1148 0.3852 0.0000 [4 per cell]
Dy1 0.0000 0.0000 0.0000 [2 per cell]
Y1 0.1798 0.6798 0.0000 [4 per cell]
Mg1 0.0000 0.5000 0.5000 [2 per cell]
Mg2 0.0636 0.2136 0.5000 [8 per cell]


# 5
Below is an optimized crystal structure of LiDyYMg, with properties calculated at the PBE level.

Calculated values
Mass density in Mg/m³: 4.41

Cell: 7.5242 7.5242 7.5242 Å, 90.00 90.00 90.00°
Space group F-43m (No. 216)
Asymmetric unit:
Li1 0.0000 0.0000 0.0000 [4 per cell]
Dy1 0.2500 0.2500 0.2500 [4 per cell]
Y1 0.2500 0.2500 0.7500 [4 per cell]
Mg1 0.0000 0.0000 0.5000 [4 per cell]


# 6
Below is an optimized crystal structure of Li2Dy2YMg5, with properties calculated at the PBE level.

Calculated values
Mass density in Mg/m³: 3.71

Cell: 10.5500 10.5500 4.4236 Å, 90.00 90.00 90.00°
Space group P4/mbm (No. 127)
Asymmetric unit:
Li1 0.1151 0.3849 0.0000 [4 per cell]
Dy1 0.1795 0.6795 0.0000 [4 per cell]
Y1 0.0000 0.0000 0.0000 [2 per cell]
Mg1 0.0000 0.5000 0.5000 [2 per cell]
Mg2 0.0640 0.2140 0.5000 [8 per cell]


# 7
Below is an optimized crystal structure of LiDyMgZn, with properties calculated at the PBE level.

Calculated values
Mass density in Mg/m³: 5.28

Cell: 6.8803 6.8803 6.8803 Å, 90.00 90.00 90.00°
Space group F-43m (No. 216)
Asymmetric unit:
Li1 0.0000 0.0000 0.0000 [4 per cell]
Dy1 0.2500 0.2500 0.2500 [4 per cell]
Mg1 0.2500 0.2500 0.7500 [4 per cell]
Zn1 0.0000 0.0000 0.5000 [4 per cell]


# 8
Below is an optimized crystal structure of LiDy2Mn, with properties calculated at the PBE level.

Calculated values
Mass density in Mg/m³: 6.11

Cell: 3.3316 3.3316 32.8035 Å, 90.00 90.00 120.00°
Space group R-3m (No. 166, hexagonal axes)
Asymmetric unit:
Li1 0.0000 0.0000 0.0000 [3 per cell]
Dy1 0.0000 0.0000 0.0975 [6 per cell]
Mn1 0.0000 0.0000 0.5000 [3 per cell]


# 9
Below is an optimized crystal structure of LiDy2Mn, with properties calculated at the PBE level.

Calculated values
Mass density in Mg/m³: 6.73

Cell: 3.4513 3.4513 8.0127 Å, 90.00 90.00 90.00°
Space group P4/mmm (No. 123)
Asymmetric unit:
Li1 0.0000 0.0000 0.0000 [1 per cell]
Dy1 0.5000 0.5000 0.2851 [2 per cell]
Mn1 0.0000 0.0000 0.5000 [1 per cell]


# 10
Below is an optimized crystal structure of LiNdDyMn, with properties calculated at the PBE level.

Calculated values
Mass density in Mg/m³: 6.46

Cell: 7.2363 7.2363 7.2363 Å, 90.00 90.00 90.00°
Space group F-43m (No. 216)
Asymmetric unit:
Li1 0.0000 0.0000 0.0000 [4 per cell]
Nd1 0.2500 0.2500 0.2500 [4 per cell]
Dy1 0.2500 0.2500 0.7500 [4 per cell]
Mn1 0.0000 0.0000 0.5000 [4 per cell]


no.,E_form (meV/atom)
1,-224
2,-195
3,-4
4,-38
5,32
6,-28
7,-197
8,365
9,111
10,148